Record 1
{"formula": "YTmCdAu", "functional": "PBE", "state": "optimized geometry", "crystal_system": "tetragonal", "rho_g_cm3": 9.70, "dos_at_fermi_per_ev_atom": 0.715, "delta_e_f_ev_per_atom": -0.6062, "de_polymorph_ev_per_atom": 0.000, "cell": [[-1.1569, -3.3838, -0.7975], [0.6735, -1.0427, 3.4473], [-6.7330, 1.8594, 1.8778]], "species": ["Au", "Y", "Cd", "Tm"], "fractional_positions": [[0.0000, 0.0000, 0.3451], [0.5000, 0.5000, 0.5962], [0.0000, 0.0000, 0.8650], [0.5000, 0.5000, 0.1218]]}

=====

Record 2
{"formula": "TmZn2Cd2Au2", "functional": "PBE", "state": "optimized geometry", "crystal_system": "trigonal", "rho_g_cm3": 10.82, "dos_at_fermi_per_ev_atom": 0.399, "delta_e_f_ev_per_atom": -0.3940, "cell": [[-2.7963, 2.3856, 2.7201], [-4.5272, -0.2467, -0.5942], [-2.7621, -5.2971, 5.6496]], "species": ["Cd", "Cd", "Au", "Au", "Zn", "Zn", "Tm"], "fractional_positions": [[0.1354, 0.1354, 0.5939], [0.8646, 0.8646, 0.4061], [0.2631, 0.2631, 0.2108], [0.7369, 0.7369, 0.7892], [0.5996, 0.5996, 0.2013], [0.4004, 0.4004, 0.7987], [0.0000, 0.0000, 0.0000]]}

=====

Record 3
{"formula": "UCdAu", "functional": "PBE", "state": "optimized geometry", "crystal_system": "orthorhombic", "rho_g_cm3": 13.46, "dos_at_fermi_per_ev_atom": 1.858, "delta_e_f_ev_per_atom": 0.0501, "cell": [[5.5018, 0.0000, 0.0000], [2.7509, 3.9831, 0.0000], [2.7509, 0.0000, 6.1633]], "species": ["U", "U", "Cd", "Cd", "Au", "Au"], "fractional_positions": [[0.1622, 0.6756, 0.0000], [0.8378, 0.3244, 0.0000], [0.7500, 0.5000, 0.5000], [0.2500, 0.5000, 0.5000], [0.3847, 0.0000, 0.2307], [0.6153, 0.0000, 0.7693]]}

=====

Record 4
{"formula": "U2CdAu6", "functional": "PBE", "state": "optimized geometry", "crystal_system": "hexagonal", "rho_g_cm3": 15.86, "dos_at_fermi_per_ev_atom": 1.519, "delta_e_f_ev_per_atom": -0.1699, "cell": [[3.0085, 0.0005, 0.0020], [0.0042, 7.3109, 4.2035], [0.0028, 0.0142, 8.4332]], "species": ["U", "U", "Au", "Au", "Au", "Au", "Au", "Au", "Cd"], "fractional_positions": [[0.0000, 0.6667, 0.6667], [0.0000, 0.3333, 0.3333], [0.5000, 0.3315, 0.6685], [0.5011, 0.0000, 0.3315], [0.5011, 0.3315, 0.0000], [0.5000, 0.6685, 0.3315], [0.4989, 0.0000, 0.6685], [0.4989, 0.6685, 0.0000], [0.0000, 0.0000, 0.0000]]}

=====

Record 5
{"formula": "UCdAu", "functional": "PBE", "state": "optimized geometry", "crystal_system": "tetragonal", "rho_g_cm3": 14.13, "dos_at_fermi_per_ev_atom": 1.977, "delta_e_f_ev_per_atom": 0.0087, "cell": [[3.0593, 0.0000, 0.0000], [0.0000, 3.0593, 0.0000], [-1.5296, -1.5296, 6.8720]], "species": ["U", "Cd", "Au"], "fractional_positions": [[0.0075, 0.0075, 0.0150], [0.3213, 0.3213, 0.6426], [0.6712, 0.6712, 0.3424]]}

=====

Record 6
{"formula": "UCdAu", "functional": "PBE", "state": "optimized geometry", "crystal_system": "hexagonal", "rho_g_cm3": 14.00, "dos_at_fermi_per_ev_atom": 1.588, "delta_e_f_ev_per_atom": -0.0705, "cell": [[2.9906, 0.0000, 0.0000], [0.0000, 5.0077, 0.0000], [0.0000, -2.5038, 4.3368]], "species": ["Au", "U", "Cd"], "fractional_positions": [[0.1665, 0.6667, 0.3333], [0.6667, 0.3333, 0.6667], [0.1668, 0.0000, 0.0000]]}

=====

Record 7
{"formula": "UCd2Au8", "functional": "PBE", "state": "optimized geometry", "crystal_system": "monoclinic", "rho_g_cm3": 15.69, "dos_at_fermi_per_ev_atom": 0.662, "delta_e_f_ev_per_atom": -0.1321, "cell": [[-1.3357, -3.7773, -1.7336], [4.8137, 0.4468, -4.6823], [3.8252, -1.8948, 6.6776]], "species": ["Cd", "Cd", "Au", "Au", "Au", "Au", "Au", "Au", "Au", "Au", "U"], "fractional_positions": [[0.2253, 0.6477, 0.4506], [0.7747, 0.3523, 0.5494], [0.1386, 0.1930, 0.2773], [0.5965, 0.4652, 0.1930], [0.4035, 0.5348, 0.8070], [0.0428, 0.7229, 0.0856], [0.6837, 0.9127, 0.3674], [0.8614, 0.8070, 0.7227], [0.3163, 0.0873, 0.6326], [0.9572, 0.2771, 0.9144], [0.5000, 0.0000, 0.0000]]}

=====

Record 8
{"formula": "UCdAu4", "functional": "PBE", "state": "optimized geometry", "crystal_system": "monoclinic", "rho_g_cm3": 15.49, "dos_at_fermi_per_ev_atom": 1.078, "delta_e_f_ev_per_atom": -0.1622, "cell": [[-1.4707, -0.7223, 2.5349], [3.2647, -3.6327, 0.8590], [4.1829, 4.9526, 5.0476]], "species": ["U", "Cd", "Au", "Au", "Au", "Au"], "fractional_positions": [[0.5000, 0.0000, 0.0000], [0.5000, 0.5000, 0.5000], [0.8536, 0.0000, 0.3412], [0.9547, 0.5000, 0.1717], [0.1464, 0.0000, 0.6588], [0.0453, 0.5000, 0.8283]]}

=====

Record 9
{"formula": "UCd4Au5", "functional": "PBE", "state": "optimized geometry", "crystal_system": "tetragonal", "rho_g_cm3": 13.77, "dos_at_fermi_per_ev_atom": 0.896, "delta_e_f_ev_per_atom": -0.1584, "cell": [[-1.3380, -0.8670, 2.9164], [3.0314, -0.6521, 1.1969], [1.4277, 17.2526, 5.7841]], "species": ["Au", "Au", "Au", "Au", "Au", "Cd", "Cd", "Cd", "Cd", "U"], "fractional_positions": [[0.5000, 0.5000, 0.6930], [0.5000, 0.5000, 0.8897], [0.5000, 0.5000, 0.5000], [0.5000, 0.5000, 0.1103], [0.5000, 0.5000, 0.3070], [0.0000, 0.0000, 0.4034], [0.0000, 0.0000, 0.7903], [0.0000, 0.0000, 0.5966], [0.0000, 0.0000, 0.2097], [0.0000, 0.0000, 0.0000]]}

=====

Record 10
{"formula": "UZnCdAu", "functional": "PBE", "state": "optimized geometry", "crystal_system": "cubic", "rho_g_cm3": 12.14, "dos_at_fermi_per_ev_atom": 2.568, "delta_e_f_ev_per_atom": -0.0079, "cell": [[-0.1205, -1.8169, 4.5630], [3.3071, -3.3540, 1.3966], [3.5122, 1.2045, 3.2172]], "species": ["Cd", "Au", "U", "Zn"], "fractional_positions": [[0.7500, 0.7500, 0.7500], [0.5000, 0.5000, 0.5000], [0.2500, 0.2500, 0.2500], [0.0000, 0.0000, 0.0000]]}

=====

Record 11
{"formula": "V2CdAu", "functional": "PBE", "state": "optimized geometry", "crystal_system": "tetragonal", "rho_g_cm3": 9.52, "dos_at_fermi_per_ev_atom": 1.340, "delta_e_f_ev_per_atom": 0.6708, "de_polymorph_ev_per_atom": 0.328, "cell": [[7.3481, 0.0000, 0.0000], [0.0000, 7.3481, 0.0000], [3.6741, 3.6741, 2.6576]], "species": ["Cd", "Cd", "V", "V", "V", "V", "Au", "Au"], "fractional_positions": [[0.2500, 0.7500, 0.5000], [0.5000, 0.5000, 0.0000], [0.3750, 0.3553, 0.7500], [0.8750, 0.8947, 0.7500], [0.1053, 0.6250, 0.2500], [0.6447, 0.1250, 0.2500], [0.7500, 0.2500, 0.5000], [0.0000, 0.0000, 0.0000]]}

=====

Record 12
{"formula": "V3CdAu", "functional": "PBE", "state": "optimized geometry", "crystal_system": "cubic", "rho_g_cm3": 6.29, "dos_at_fermi_per_ev_atom": 2.773, "delta_e_f_ev_per_atom": 1.3182, "de_polymorph_ev_per_atom": 0.000, "cell": [[-3.6095, -3.4018, -0.0515], [3.3050, -3.4881, -1.2301], [0.8075, -0.9295, 4.8049]], "species": ["Cd", "V", "V", "V", "Au"], "fractional_positions": [[0.5000, 0.5000, 0.5000], [0.5000, 0.0000, 0.0000], [0.0000, 0.0000, 0.5000], [0.0000, 0.5000, 0.0000], [0.0000, 0.0000, 0.0000]]}